[1]
An optimized crystal structure of ScNi2P2, computed with PBE-GGA.

Cell and atoms, written as POSCAR:
```
ScNi2P2
1.0
6.848 0.000 0.000
0.000 6.848 0.000
0.000 0.000 2.838
Sc Ni P
2 4 4
Direct
0.000 0.000 0.000
0.500 0.500 0.000
0.124 0.376 0.000
0.376 0.876 0.000
0.624 0.124 0.000
0.876 0.624 0.000
0.177 0.677 0.500
0.323 0.177 0.500
0.677 0.823 0.500
0.823 0.323 0.500
```

Its uncorrected energy is -61.756 eV per cell. The value obtained for the mass density is 5.60 g/cm3. As for the space group: No. 127. As for the calculated formation energy: -433 meV per atom. The total magnetic moment is 0.00 Bohr magnetons per cell.

[2]
An optimized crystal structure of ScNi3P, computed with PBE-GGA.

Cell and atoms, written as POSCAR:
```
ScNi3P
1.0
4.410 0.000 0.000
0.000 4.410 0.000
0.000 0.000 4.410
Sc Ni P
1 3 1
Direct
0.000 0.000 0.000
0.000 0.000 0.500
0.000 0.500 0.000
0.500 0.000 0.000
0.500 0.500 0.500
```

Its uncorrected energy is -23.152 eV per cell. The value obtained for the mass density is 4.88 g/cm3. As for the space group: No. 221. As for the calculated formation energy: 1187 meV per atom. Its energy above the most stable polymorph in this dataset is 1685 meV per atom. The total magnetic moment is 0.00 Bohr magnetons per cell.

[3]
An optimized crystal structure of ScNiP, computed with PBE-GGA.

Cell and atoms, written as POSCAR:
```
ScNiP
1.0
6.339 0.000 0.000
0.000 3.744 0.000
0.000 0.000 7.095
Sc Ni P
4 4 4
Direct
0.021 0.250 0.185
0.479 0.750 0.685
0.521 0.250 0.315
0.979 0.750 0.815
0.141 0.250 0.561
0.359 0.750 0.061
0.641 0.250 0.939
0.859 0.750 0.439
0.234 0.750 0.381
0.266 0.250 0.881
0.734 0.750 0.119
0.766 0.250 0.619
```

Its uncorrected energy is -84.538 eV per cell. The value obtained for the mass density is 5.31 g/cm3. As for the space group: No. 62. As for the calculated formation energy: -1204 meV per atom. The total magnetic moment is 0.00 Bohr magnetons per cell.

[4]
An optimized crystal structure of ScNiP, computed with PBE-GGA.

Cell and atoms, written as POSCAR:
```
ScNiP
1.0
-1.775 1.775 3.699
1.775 -1.775 3.699
1.775 1.775 -3.699
Sc Ni P
1 1 1
Direct
0.000 0.000 0.000
0.651 0.651 0.000
0.345 0.345 0.000
```

Its uncorrected energy is -19.265 eV per cell. The value obtained for the mass density is 4.79 g/cm3. As for the space group: No. 107. As for the calculated formation energy: -581 meV per atom. The total magnetic moment is 0.00 Bohr magnetons per cell.

[5]
An optimized crystal structure of Sc2Ni21P6, computed with PBE-GGA.

Cell and atoms, written as POSCAR:
```
Sc2Ni21P6
1.0
0.000 5.547 5.547
5.547 0.000 5.547
5.547 5.547 0.000
Sc Ni P
2 21 6
Direct
0.250 0.250 0.250
0.750 0.750 0.750
0.000 0.000 0.000
0.000 0.000 0.349
0.000 0.000 0.651
0.000 0.349 0.000
0.000 0.349 0.651
0.000 0.651 0.000
0.000 0.651 0.349
0.154 0.615 0.615
0.349 0.000 0.000
0.349 0.000 0.651
0.349 0.651 0.000
0.385 0.385 0.385
0.385 0.385 0.846
0.385 0.846 0.385
0.615 0.154 0.615
0.615 0.615 0.154
0.615 0.615 0.615
0.651 0.000 0.000
0.651 0.000 0.349
0.651 0.349 0.000
0.846 0.385 0.385
0.261 0.261 0.739
0.261 0.739 0.261
0.261 0.739 0.739
0.739 0.261 0.261
0.739 0.261 0.739
0.739 0.739 0.261
```

Its uncorrected energy is -181.590 eV per cell. The value obtained for the mass density is 7.34 g/cm3. As for the space group: No. 225. As for the calculated formation energy: -519 meV per atom. The total magnetic moment is 0.00 Bohr magnetons per cell.

[6]
An optimized crystal structure of ScNi3P, computed with PBE-GGA.

Cell and atoms, written as POSCAR:
```
ScNi3P
1.0
4.187 0.000 0.000
0.000 4.187 0.000
0.000 0.000 4.187
Sc Ni P
1 3 1
Direct
0.000 0.000 0.000
0.000 0.500 0.500
0.500 0.000 0.500
0.500 0.500 0.000
0.500 0.500 0.500
```

Its uncorrected energy is -31.034 eV per cell. The value obtained for the mass density is 5.70 g/cm3. As for the space group: No. 221. As for the calculated formation energy: -390 meV per atom. Its energy above the most stable polymorph in this dataset is 108 meV per atom. The total magnetic moment is 0.00 Bohr magnetons per cell.

[7]
An optimized crystal structure of ScNiP2, computed with PBE-GGA.

Cell and atoms, written as POSCAR:
```
ScNiP2
1.0
3.445 0.000 0.000
0.000 3.445 0.000
0.000 0.000 5.202
Sc Ni P
1 1 2
Direct
0.000 0.000 0.000
0.500 0.500 0.398
0.000 0.000 0.492
0.500 0.500 0.848
```

Its uncorrected energy is -25.238 eV per cell. The value obtained for the mass density is 4.45 g/cm3. As for the space group: No. 99. As for the calculated formation energy: -576 meV per atom. The total magnetic moment is 0.00 Bohr magnetons per cell.

[8]
An optimized crystal structure of ScNiP2, computed with PBE-GGA.

Cell and atoms, written as POSCAR:
```
ScNiP2
1.0
1.833 1.058 5.243
-1.833 1.058 5.243
0.000 -2.116 5.243
Sc Ni P
1 1 2
Direct
0.000 0.000 0.000
0.500 0.500 0.500
0.234 0.234 0.234
0.766 0.766 0.766
```

Its uncorrected energy is -25.641 eV per cell. The value obtained for the mass density is 4.51 g/cm3. As for the space group: No. 166. As for the calculated formation energy: -677 meV per atom. The total magnetic moment is 0.00 Bohr magnetons per cell.

[9]
An optimized crystal structure of ScNiP2, computed with PBE-GGA.

Cell and atoms, written as POSCAR:
```
ScNiP2
1.0
-2.147 2.147 7.332
2.147 -2.147 7.332
2.147 2.147 -7.332
Sc Ni P
2 2 4
Direct
0.000 0.000 0.000
0.750 0.250 0.500
0.250 0.750 0.500
0.500 0.500 0.000
0.241 0.625 0.116
0.375 0.491 0.616
0.509 0.125 0.884
0.875 0.759 0.384
```

Its uncorrected energy is -50.485 eV per cell. The value obtained for the mass density is 4.07 g/cm3. As for the space group: No. 122. As for the calculated formation energy: -578 meV per atom. The total magnetic moment is 0.00 Bohr magnetons per cell.

[10]
An optimized crystal structure of Sc3Ni6P5, computed with PBE-GGA.

Cell and atoms, written as POSCAR:
```
Sc3Ni6P5
1.0
3.651 0.000 0.000
0.000 11.322 0.000
0.000 0.000 9.037
Sc Ni P
6 12 10
Direct
0.250 0.091 0.244
0.250 0.409 0.244
0.250 0.750 0.257
0.750 0.250 0.743
0.750 0.591 0.756
0.750 0.909 0.756
0.250 0.060 0.602
0.250 0.250 0.478
0.250 0.250 0.985
0.250 0.440 0.602
0.250 0.580 0.006
0.250 0.920 0.006
0.750 0.080 0.994
0.750 0.420 0.994
0.750 0.560 0.398
0.750 0.750 0.015
0.750 0.750 0.522
0.750 0.940 0.398
0.250 0.081 0.846
0.250 0.419 0.846
0.250 0.629 0.529
0.250 0.750 0.866
0.250 0.871 0.529
0.750 0.129 0.471
0.750 0.250 0.134
0.750 0.371 0.471
0.750 0.581 0.154
0.750 0.919 0.154
```

Its uncorrected energy is -188.553 eV per cell. The value obtained for the mass density is 5.71 g/cm3. As for the space group: No. 59. As for the calculated formation energy: -967 meV per atom. The total magnetic moment is 0.00 Bohr magnetons per cell.

[11]
An optimized crystal structure of Sc3NiP, computed with PBE-GGA.

Cell and atoms, written as POSCAR:
```
Sc3NiP
1.0
4.842 0.000 0.000
0.000 4.842 0.000
0.000 0.000 4.842
Sc Ni P
3 1 1
Direct
0.000 0.000 0.500
0.000 0.500 0.000
0.500 0.000 0.000
0.500 0.500 0.500
0.000 0.000 0.000
```

Its uncorrected energy is -31.090 eV per cell. The value obtained for the mass density is 3.28 g/cm3. As for the space group: No. 221. As for the calculated formation energy: -181 meV per atom. Its energy above the most stable polymorph in this dataset is 0 meV per atom. The total magnetic moment is 1.89 Bohr magnetons per cell.

[12]
An optimized crystal structure of ScNiP2, computed with PBE-GGA.

Cell and atoms, written as POSCAR:
```
ScNiP2
1.0
0.000 3.087 3.087
3.087 0.000 3.087
3.087 3.087 0.000
Sc Ni P
1 1 2
Direct
0.000 0.000 0.000
0.500 0.500 0.500
0.250 0.250 0.250
0.750 0.750 0.750
```

Its uncorrected energy is -24.340 eV per cell. The value obtained for the mass density is 4.67 g/cm3. As for the space group: No. 225. As for the calculated formation energy: -352 meV per atom. The total magnetic moment is 0.00 Bohr magnetons per cell.

Copy entry 8 word for word.
An optimized crystal structure of ScNiP2, computed with PBE-GGA.

Cell and atoms, written as POSCAR:
```
ScNiP2
1.0
1.833 1.058 5.243
-1.833 1.058 5.243
0.000 -2.116 5.243
Sc Ni P
1 1 2
Direct
0.000 0.000 0.000
0.500 0.500 0.500
0.234 0.234 0.234
0.766 0.766 0.766
```

Its uncorrected energy is -25.641 eV per cell. The value obtained for the mass density is 4.51 g/cm3. As for the space group: No. 166. As for the calculated formation energy: -677 meV per atom. The total magnetic moment is 0.00 Bohr magnetons per cell.

Question: Number 9 is which compound?
Answer: ScNiP2